{"formula": "La3Sc", "functional": "meta-GGA SCAN", "state": "PBEsol geometry", "formation_enthalpy_0k_kj_per_mol_fu": 27, "density_g_cm3": 6.087, "energy_ev_per_cell": -143.3, "dos_ef_per_ev_fu": 6.0, "lattice": [[-1.7884, 5.7689, 3.0517], [1.7884, -5.7689, 3.0517], [1.7884, 5.7689, -3.0517]], "species": ["La", "La", "La", "Sc"], "fractional_positions": [[0.0000, 0.0000, 0.0000], [0.1054, 0.3472, 0.7582], [0.5890, 0.3472, 0.2418], [0.5041, 0.0041, 0.5000]]}